Here is crystalline RbCd12Au7 at its relaxed geometry from the Alexandria database. Energies are from PBE.

Structure (CIF):
```
data_RbCd12Au7
_cell_length_a 7.726
_cell_length_b 8.687
_cell_length_c 8.687
_cell_angle_alpha 68.40
_cell_angle_beta 72.75
_cell_angle_gamma 107.25
_space_group_name_H-M_alt 'P 1'
_space_group_IT_number 1
loop_
_space_group_symop_operation_xyz
'x,y,z'
loop_
_atom_site_label
_atom_site_type_symbol
_atom_site_fract_x
_atom_site_fract_y
_atom_site_fract_z
Cd1 Cd 0.006 0.266 0.261
Cd2 Cd 0.542 0.998 0.325
Au1 Au 0.837 0.346 0.003
Au2 Au 0.840 0.003 0.651
Cd3 Cd 0.458 0.002 0.675
Au3 Au 0.491 0.651 0.346
Cd4 Cd 0.544 0.677 0.998
Cd5 Cd 0.866 0.325 0.677
Au4 Au 0.163 0.654 0.997
Cd6 Cd 0.733 0.739 0.528
Cd7 Cd 0.456 0.323 0.002
Cd8 Cd 0.260 0.528 0.734
Au5 Au 0.160 0.997 0.349
Cd9 Cd 0.267 0.261 0.472
Au6 Au 0.500 0.000 0.000
Cd10 Cd 0.740 0.472 0.266
Cd11 Cd 0.134 0.675 0.323
Au7 Au 0.509 0.349 0.654
Rb1 Rb 0.000 0.000 0.000
Cd12 Cd 0.994 0.734 0.739
```

Output
Final energy, hartree per atom: -0.0687
DOS(E_F), states/eV/atom: 0.342
Energy of formation, kcal/mol of atoms: -2.91